No. 1
First-principles (GGA-PBE) data for a relaxed LaTh2TcC4 crystal, as listed in Alexandria.

Lattice parameters (Å, degrees): 3.670 6.500 12.704 90.00 90.00 106.40
Fractional coordinates of all 16 atoms:
La 0.095 0.190 0.750
Tc 0.830 0.660 0.750
Th 0.368 0.737 0.542
C 0.737 0.473 0.868
C 0.263 0.527 0.132
C 0.000 0.000 0.500
Th 0.632 0.263 0.042
C 0.737 0.473 0.632
Th 0.368 0.737 0.958
C 0.263 0.527 0.368
Th 0.632 0.263 0.458
Tc 0.170 0.340 0.250
C 0.409 0.818 0.750
La 0.905 0.810 0.250
C 0.591 0.182 0.250
C 0.000 0.000 0.000

Calculated values
The value obtained for the size of the total moment is 0.000 Bohr magnetons per cell. The energy of formation is -0.07 eV/atom. Its mass density is 8.56 g/cm3. Its total energy is -135.13 eV for the cell shown. The volume comes out at 18.17 Å³/atom.

No. 2
First-principles (GGA-PBE) data for a relaxed AlZn2Ag8 crystal, as listed in Alexandria.

Lattice parameters (Å, degrees): 4.769 6.884 6.884 84.50 77.77 77.77
Fractional coordinates of all 11 atoms:
Ag 0.807 0.667 0.155
Zn 0.457 0.142 0.142
Ag 0.704 0.579 0.579
Ag 0.113 0.736 0.736
Ag 0.193 0.333 0.845
Al 0.000 0.000 0.000
Ag 0.296 0.421 0.421
Ag 0.193 0.845 0.333
Ag 0.807 0.155 0.667
Ag 0.887 0.264 0.264
Zn 0.543 0.858 0.858

Calculated values
The value obtained for the size of the total moment is 0.000 Bohr magnetons per cell. The energy of formation is 0.14 eV/atom. Its mass density is 7.86 g/cm3. Its total energy is -27.53 eV for the cell shown. The energy relative to the lowest polymorph listed for this composition is 164.1 meV/atom. The volume comes out at 19.60 Å³/atom.

No. 3
First-principles (GGA-PBE) data for a relaxed CaMoPb crystal, as listed in Alexandria.

Lattice parameters (Å, degrees): 5.946 5.945 5.945 143.86 143.87 52.03
Fractional coordinates of all 3 atoms:
Pb 0.698 0.698 0.000
Mo 0.305 0.305 0.000
Ca 0.996 0.996 0.000

Calculated values
The value obtained for the size of the total moment is 0.000 Bohr magnetons per cell. The energy of formation is 0.48 eV/atom. Its mass density is 7.84 g/cm3. Its total energy is -15.11 eV for the cell shown. The energy relative to the lowest polymorph listed for this composition is 0.0 meV/atom. The volume comes out at 24.22 Å³/atom.

No. 4
First-principles (GGA-PBE) data for a relaxed LiPm3 crystal, as listed in Alexandria.

Lattice parameters (Å, degrees): 4.994 4.994 4.994 90.00 90.00 90.00
Fractional coordinates of all 4 atoms:
Pm 0.000 0.500 0.500
Pm 0.500 0.000 0.500
Li 0.000 0.000 0.000
Pm 0.500 0.500 0.000

Calculated values
The value obtained for the size of the total moment is 0.000 Bohr magnetons per cell. The energy of formation is 0.17 eV/atom. Its mass density is 5.89 g/cm3. Its total energy is -15.50 eV for the cell shown. The energy relative to the lowest polymorph listed for this composition is 88.9 meV/atom. The volume comes out at 31.13 Å³/atom.

No. 5
First-principles (GGA-PBE) data for a relaxed KTc2Ru crystal, as listed in Alexandria.

Lattice parameters (Å, degrees): 4.528 4.528 4.526 120.00 120.00 90.03
Fractional coordinates of all 4 atoms:
Tc 0.000 0.000 0.000
K 0.500 0.500 0.000
Ru 0.750 0.250 0.500
Tc 0.250 0.750 0.500

Calculated values
The value obtained for the size of the total moment is 0.000 Bohr magnetons per cell. The energy of formation is 1.35 eV/atom. Its mass density is 8.51 g/cm3. Its total energy is -25.70 eV for the cell shown. The energy relative to the lowest polymorph listed for this composition is 603.8 meV/atom. The volume comes out at 16.40 Å³/atom.

No. 6
First-principles (GGA-PBE) data for a relaxed CsTe2I6 crystal, as listed in Alexandria.

Lattice parameters (Å, degrees): 9.430 11.733 11.733 64.06 70.92 70.92
Fractional coordinates of all 18 atoms:
I 0.541 0.580 0.245
I 0.413 0.258 0.258
I 0.587 0.742 0.742
I 0.199 0.758 0.053
Cs 0.750 0.872 0.128
I 0.301 0.947 0.242
Cs 0.250 0.128 0.872
I 0.913 0.258 0.258
Te 0.643 0.407 0.105
I 0.699 0.053 0.758
I 0.959 0.755 0.420
I 0.459 0.420 0.755
Te 0.857 0.895 0.593
I 0.041 0.245 0.580
Te 0.357 0.593 0.895
I 0.801 0.242 0.947
Te 0.143 0.105 0.407
I 0.087 0.742 0.742

Calculated values
The value obtained for the size of the total moment is 0.000 Bohr magnetons per cell. Its mass density is 3.54 g/cm3. Its total energy is -39.24 eV for the cell shown. The value obtained for the formation energy from raw total energies is -0.35 eV/atom. The volume comes out at 59.84 Å³/atom.